# 1
Computed, not measured: a relaxed In2CoHW crystal at the GGA-PBE level of DFT.

a = 5.3415 Å, b = 5.3415 Å, c = 3.3064 Å
α = 90.00°, β = 90.00°, γ = 90.00°
Space group P4/mmm (No. 123)
Symmetry-distinct sites (fractional):
In (0.0000, 0.5000, 0.0000)
Co (0.0000, 0.0000, 0.5000)
H (0.5000, 0.5000, 0.5000)
W (0.5000, 0.5000, 0.0000)

The total energy comes out at -4.69 eV/atom.

# 2
Computed, not measured: a relaxed Zr2InCoH crystal at the GGA-PBE level of DFT.

a = 4.4717 Å, b = 4.4717 Å, c = 3.9256 Å
α = 90.00°, β = 90.00°, γ = 90.00°
Space group P4/mmm (No. 123)
Symmetry-distinct sites (fractional):
Zr (0.0000, 0.5000, 0.0000)
In (0.0000, 0.0000, 0.5000)
Co (0.5000, 0.5000, 0.5000)
H (0.5000, 0.5000, 0.0000)

The total energy comes out at -6.30 eV/atom.

# 3
Computed, not measured: a relaxed ZrInCoH2 crystal at the GGA-PBE level of DFT.

a = 3.6039 Å, b = 3.6039 Å, c = 6.5137 Å
α = 90.00°, β = 90.00°, γ = 90.00°
Space group P4/mmm (No. 123)
Symmetry-distinct sites (fractional):
Zr (0.0000, 0.0000, 0.0000)
In (0.0000, 0.0000, 0.5000)
Co (0.5000, 0.5000, 0.0000)
H (0.0000, 0.5000, 0.5000)

The total energy comes out at -4.31 eV/atom.

# 4
Computed, not measured: a relaxed Co5H12Ir3 crystal at the GGA-PBE level of DFT.

a = 10.3793 Å, b = 10.3793 Å, c = 10.3793 Å
α = 90.00°, β = 90.00°, γ = 90.00°
Space group Ia-3d (No. 230)
Symmetry-distinct sites (fractional):
Co (0.0000, 0.0000, 0.0000)
Co (0.0000, 0.2500, 0.3750)
H (0.0169, 0.0663, 0.6518)
Ir (0.0000, 0.2500, 0.1250)

The total energy comes out at -4.81 eV/atom.

# 5
Computed, not measured: a relaxed Co2HIr2 crystal at the GGA-PBE level of DFT.

a = 7.1403 Å, b = 7.1403 Å, c = 2.6483 Å
α = 90.00°, β = 90.00°, γ = 90.00°
Space group P4/mbm (No. 127)
Symmetry-distinct sites (fractional):
Co (0.1606, 0.3394, 0.0000)
H (0.0000, 0.0000, 0.5000)
Ir (0.1367, 0.6367, 0.5000)

The total energy comes out at -6.27 eV/atom.

# 6
Computed, not measured: a relaxed CoH3Ir crystal at the GGA-PBE level of DFT.

a = 3.4133 Å, b = 3.4133 Å, c = 3.4133 Å
α = 90.00°, β = 90.00°, γ = 90.00°
Space group Pm-3m (No. 221)
Symmetry-distinct sites (fractional):
Co (0.0000, 0.0000, 0.0000)
H (0.0000, 0.5000, 0.5000)
Ir (0.5000, 0.5000, 0.5000)

The total energy comes out at -4.83 eV/atom.

# 7
Computed, not measured: a relaxed Co3H12Ir5 crystal at the GGA-PBE level of DFT.

a = 10.5746 Å, b = 10.5746 Å, c = 10.5746 Å
α = 90.00°, β = 90.00°, γ = 90.00°
Space group Ia-3d (No. 230)
Symmetry-distinct sites (fractional):
Co (0.0000, 0.2500, 0.1250)
H (0.0092, 0.0723, 0.6571)
Ir (0.0000, 0.0000, 0.0000)
Ir (0.0000, 0.2500, 0.3750)

The total energy comes out at -4.97 eV/atom.

# 8
Computed, not measured: a relaxed Co2HIr crystal at the GGA-PBE level of DFT.

a = 2.5767 Å, b = 2.5767 Å, c = 5.9338 Å
α = 90.00°, β = 90.00°, γ = 90.00°
Space group P4/mmm (No. 123)
Symmetry-distinct sites (fractional):
Co (0.0000, 0.0000, 0.1965)
H (0.5000, 0.5000, 0.0000)
Ir (0.5000, 0.5000, 0.5000)

The total energy comes out at -6.29 eV/atom.